Entry 1:
Below is Nd2Cd4InPb2 after structural relaxation, with properties calculated at the GGA-PBE level.

Lattice parameters (Å, degrees): 7.3701 7.3701 7.3701 82.02 124.71 124.71
Closest atoms and distances in Å follow each position.
Positions (direct):
Nd (0.0000, 0.7264, 0.7264)  1 In 3.04, 4 Cd 3.28
Nd (0.0000, 0.2736, 0.2736)  1 In 3.04, 4 Cd 3.28
Cd (0.0000, 0.7173, 0.2827)  1 In 2.73, 2 Cd 2.97
Cd (0.4345, 0.7173, 0.7173)  1 In 2.73, 2 Cd 2.97
Cd (0.0000, 0.2827, 0.7173)  1 In 2.73, 2 Cd 2.97
Cd (0.5655, 0.2827, 0.2827)  1 In 2.73, 2 Cd 2.97
In (0.0000, 0.0000, 0.0000)  4 Cd 2.73, 2 Nd 3.04
Pb (0.5000, 0.7500, 0.2500)  4 Nd 3.43, 8 Cd 3.70
Pb (0.5000, 0.2500, 0.7500)  4 Nd 3.43, 8 Cd 3.70

Its crystal system is tetragonal. The calculation puts the density of states at the Fermi level at 4.99 states/eV per cell. The calculation puts the electronic total energy at -2.721 eV per atom. The total magnetization comes out at 0.000 μB per cell. Its calculated volume is 260.2 Å³/cell.

---

Entry 2:
Below is TaPt2Se after structural relaxation, with properties calculated at the GGA-PBE level.

Lattice parameters (Å, degrees): 3.2125 4.4489 4.6401 90.00 90.00 90.00
Closest atoms and distances in Å follow each position.
Positions (direct):
Pt (0.0000, 0.0000, 0.0000)  4 Pt 2.74, 4 Se 2.82
Pt (0.5000, 0.5000, 0.0000)  4 Pt 2.74, 4 Ta 2.82
Se (0.5000, 0.0000, 0.5000)  4 Ta 2.74, 4 Pt 2.82
Ta (0.0000, 0.5000, 0.5000)  4 Se 2.74, 4 Pt 2.82

Its crystal system is orthorhombic. The calculation puts the density of states at the Fermi level at 2.17 states/eV per cell. The uncorrected formation energy comes out at -0.1280 eV/atom. The total magnetization comes out at 0.000 μB per cell. Its calculated volume is 66.3 Å³/cell.

---

Entry 3:
Below is Ac4ZnIn2 after structural relaxation, with properties calculated at the GGA-PBE level.

Lattice parameters (Å, degrees): 5.8096 5.8096 9.3840 108.03 108.03 90.00
Closest atoms and distances in Å follow each position.
Positions (direct):
Ac (0.8135, 0.8135, 0.6270)  1 Zn 3.15, 1 In 3.29
Ac (0.1865, 0.1865, 0.3730)  1 Zn 3.15, 1 In 3.29
Ac (0.0000, 0.5000, 0.0000)  2 Zn 2.90
Ac (0.5000, 0.0000, 0.0000)  2 Zn 2.90
Zn (0.0000, 0.0000, 0.0000)  6 Ac 2.90-3.15
In (0.6188, 0.6188, 0.2375)  5 Ac 3.29-3.53
In (0.3812, 0.3812, 0.7625)  5 Ac 3.29-3.53

Its crystal system is tetragonal. The calculation puts the density of states at the Fermi level at 6.72 states/eV per cell. The calculation puts the energy above the lowest structure with this stoichiometry at 208.2 meV/atom. The total magnetization comes out at 0.000 μB per cell. Its calculated volume is 284.8 Å³/cell.

---

Entry 4:
Below is CaInI2 after structural relaxation, with properties calculated at the GGA-PBE level.

Lattice parameters (Å, degrees): 3.8536 3.8536 10.3521 90.00 90.00 90.00
Closest atoms and distances in Å follow each position.
Positions (direct):
I (0.0000, 0.0000, 0.6828)  4 Ca 3.32
I (0.0000, 0.0000, 0.3172)  4 Ca 3.32
Ca (0.5000, 0.5000, 0.5000)  8 I 3.32
In (0.5000, 0.5000, 0.0000)  4 In 3.85, 8 I 4.27

Its crystal system is tetragonal. The calculation puts the density of states at the Fermi level at 2.55 states/eV per cell. The calculation puts the energy above the lowest structure with this stoichiometry at 0.0 meV/atom. The uncorrected formation energy comes out at -0.7920 eV/atom. The total magnetization comes out at 0.000 μB per cell. Its calculated volume is 153.7 Å³/cell.

---

Entry 5:
Below is Tb8As6Se after structural relaxation, with properties calculated at the GGA-PBE level.

Lattice parameters (Å, degrees): 4.3109 10.4356 10.4356 120.00 90.00 90.00
Closest atoms and distances in Å follow each position.
Positions (direct):
Tb (0.7376, 0.9677, 0.3044)  4 As 2.77-2.96
Tb (0.7376, 0.6956, 0.6633)  4 As 2.77-2.96
Tb (0.7376, 0.3367, 0.0323)  4 As 2.77-2.96
Tb (0.2624, 0.0323, 0.6956)  4 As 2.77-2.96
Tb (0.2624, 0.3044, 0.3367)  4 As 2.77-2.96
Tb (0.2624, 0.6633, 0.9677)  4 As 2.77-2.96
Tb (0.7443, 0.3333, 0.6667)  6 As 2.96-2.98
Tb (0.2557, 0.6667, 0.3333)  6 As 2.96-2.98
As (0.7599, 0.6567, 0.1327)  6 Tb 2.77-2.98
As (0.7599, 0.8673, 0.5240)  6 Tb 2.77-2.98
As (0.7599, 0.4760, 0.3433)  6 Tb 2.77-2.98
As (0.2401, 0.3433, 0.8673)  6 Tb 2.77-2.98
As (0.2401, 0.1327, 0.4760)  6 Tb 2.77-2.98
As (0.2401, 0.5240, 0.6567)  6 Tb 2.77-2.98
Se (0.5000, 0.0000, 0.0000)  6 Tb 3.51

Its crystal system is trigonal. The calculation puts the density of states at the Fermi level at 9.54 states/eV per cell. The uncorrected formation energy comes out at -1.1651 eV/atom. The total magnetization comes out at 0.000 μB per cell. Its calculated volume is 406.6 Å³/cell.

---

Entry 6:
Below is CaMgAlIn after structural relaxation, with properties calculated at the GGA-PBE level.

Lattice parameters (Å, degrees): 5.1394 5.1394 5.1394 60.00 60.00 60.00
Closest atoms and distances in Å follow each position.
Positions (direct):
Mg (0.0000, 0.0000, 0.0000)  4 In 3.15, 4 Al 3.15
Ca (0.5000, 0.5000, 0.5000)  4 In 3.15, 4 Al 3.15
Al (0.2500, 0.2500, 0.2500)  4 Mg 3.15, 4 Ca 3.15
In (0.7500, 0.7500, 0.7500)  4 Mg 3.15, 4 Ca 3.15

Its crystal system is cubic. The calculation puts the density of states at the Fermi level at 0.97 states/eV per cell. The calculation puts the electronic total energy at -2.703 eV per atom. The total magnetization comes out at 0.000 μB per cell. Its calculated volume is 96.0 Å³/cell.

---

Entry 7:
Below is KDyPd4 after structural relaxation, with properties calculated at the GGA-PBE level.

Lattice parameters (Å, degrees): 5.4922 5.4922 5.4922 60.00 60.00 60.00
Closest atoms and distances in Å follow each position.
Positions (direct):
K (0.0000, 0.0000, 0.0000)  12 Pd 3.22, 4 Dy 3.36
Pd (0.6246, 0.6246, 0.1263)  6 Pd 2.74-2.76
Pd (0.6246, 0.1263, 0.6246)  6 Pd 2.74-2.76
Pd (0.6246, 0.6246, 0.6246)  6 Pd 2.74-2.76
Pd (0.1263, 0.6246, 0.6246)  6 Pd 2.74-2.76
Dy (0.2500, 0.2500, 0.2500)  12 Pd 3.22, 4 K 3.36

Its crystal system is cubic. The calculation puts the density of states at the Fermi level at 3.85 states/eV per cell. The calculation puts the electronic total energy at -4.822 eV per atom. The total magnetization comes out at 0.000 μB per cell. Its calculated volume is 117.1 Å³/cell.

---

Entry 8:
Below is VTc2Sn after structural relaxation, with properties calculated at the GGA-PBE level.

Lattice parameters (Å, degrees): 3.2315 4.3925 4.3925 90.00 90.00 90.00
Closest atoms and distances in Å follow each position.
Positions (direct):
V (0.5000, 0.5000, 0.5000)  8 Tc 2.73
Sn (0.5000, 0.0000, 0.0000)  8 Tc 2.73
Tc (0.0000, 0.0000, 0.5000)  4 V 2.73, 4 Sn 2.73
Tc (0.0000, 0.5000, 0.0000)  4 Sn 2.73, 4 V 2.73

Its crystal system is tetragonal. The calculation puts the density of states at the Fermi level at 3.96 states/eV per cell. The calculation puts the electronic total energy at -8.476 eV per atom. The total magnetization comes out at 0.001 μB per cell. Its calculated volume is 62.4 Å³/cell.